(1)
VASP calculation (GGA-PBE) on a relaxed LaSm2Hf crystal.

## Properties
Its density of states at the Fermi level is 7.779 states/eV/cell. Its formation energy is 233 meV/atom. The symmetry is P4/mmm. For the polymorph energy (0 for the lowest one), the calculation gives 50 meV per atom.

Unit cell a=4.0291 b=4.0291 c=7.6692 alpha=90.00 beta=90.00 gamma=90.00
Closest atoms and distances in Å follow each position.
Atoms (fractional coordinates):
Sm 0.0000 0.0000 0.2892  1 Sm 3.23, 4 Hf 3.28, 4 La 3.61
Sm 0.0000 0.0000 0.7108  1 Sm 3.23, 4 Hf 3.28, 4 La 3.61
La 0.5000 0.5000 0.0000  8 Sm 3.61, 2 Hf 3.83, 4 La 4.03
Hf 0.5000 0.5000 0.5000  8 Sm 3.28

***

(2)
VASP calculation (GGA-PBE) on a relaxed LaSm2Hf crystal.

## Properties
Its density of states at the Fermi level is 4.790 states/eV/cell. Its formation energy is 182 meV/atom. The symmetry is P4/mmm. For the polymorph energy (0 for the lowest one), the calculation gives 0 meV per atom.

Unit cell a=5.0044 b=4.9448 c=4.9448 alpha=90.00 beta=90.00 gamma=90.00
Closest atoms and distances in Å follow each position.
Atoms (fractional coordinates):
Sm 0.0000 0.5000 0.0000  4 Sm 3.50, 4 Hf 3.52, 4 La 3.52
La 0.5000 0.0000 0.0000  4 Hf 3.50, 8 Sm 3.52
Hf 0.5000 0.5000 0.5000  4 La 3.50, 8 Sm 3.52
Sm 0.0000 0.0000 0.5000  4 Sm 3.50, 4 Hf 3.52, 4 La 3.52

***

(3)
VASP calculation (GGA-PBE) on a relaxed La2SmHf crystal.

## Properties
Its density of states at the Fermi level is 4.221 states/eV/cell. Its formation energy is 186 meV/atom. The symmetry is P4/mmm. For the polymorph energy (0 for the lowest one), the calculation gives 0 meV per atom.

Unit cell a=4.9093 b=5.0450 c=5.0450 alpha=90.00 beta=90.00 gamma=90.00
Closest atoms and distances in Å follow each position.
Atoms (fractional coordinates):
La 0.0000 0.5000 0.0000  4 Hf 3.52, 4 Sm 3.52, 4 La 3.57
La 0.0000 0.0000 0.5000  4 Sm 3.52, 4 Hf 3.52, 4 La 3.57
Hf 0.5000 0.0000 0.0000  8 La 3.52, 4 Sm 3.57
Sm 0.5000 0.5000 0.5000  8 La 3.52, 4 Hf 3.57

***

Question: Among the records above, which one has the highest formation energy?
Answer: number 1

***

Question: Which of these has the lowest formation energy?
Answer: number 2

***

Question: The highest formation energy belongs to which entry?
Answer: number 1